Material: FePSeO2
Method: DFT, GGA+U
State: optimized geometry

* D(E_F): 1.81 states/eV per cell
* calculated volume: 14.50 Å³/atom
* ΔE to the lowest computed polymorph: 144 kJ/mol of formula units

a b c (Å): 3.8191 3.8191 4.9707
angles (deg): 90.00 90.00 90.00
Last column: magnetic moment on the atom in μB.
Element x y z (fractional)
O: 0.0000 0.5000 0.0000  0.05
O: 0.5000 0.0000 0.0000  0.05
Se: 0.0000 0.0000 0.0000  0.01
Fe: 0.5000 0.5000 0.5000  3.85
P: 0.0000 0.0000 0.5000  0.00